Entry 1:
Ba8TlHg3I4 | PBE | optimized geometry

abc: 9.6221 10.7076 9.6177
angles: 116.64 120.02 90.00
Atoms (fractional coordinates):
1 I 0.0000 0.0000 0.0000
2 I 0.5000 0.0000 0.5000
3 I 0.0000 0.0000 0.5000
4 I 0.5000 0.0000 0.0000
5 Ba 0.2570 0.2689 0.0129
6 Ba 0.2442 0.7311 0.9871
7 Ba 0.2579 0.2739 0.5158
8 Ba 0.7430 0.7311 0.9871
9 Ba 0.7421 0.7261 0.4842
10 Ba 0.7558 0.2689 0.0129
11 Ba 0.7559 0.2689 0.5117
12 Ba 0.2441 0.7311 0.4883
13 Hg 0.0000 0.5000 0.5000
14 Hg 0.5000 0.5000 0.0000
15 Hg 0.5000 0.5000 0.5000
16 Tl 0.0000 0.5000 0.0000

Calculated values
Its symmetry is C2/m.

---

Entry 2:
Ba4TlHgI2 | PBE | optimized geometry

abc: 4.7751 8.3694 9.6344
angles: 106.53 90.00 90.00
Site moments in Bohr magnetons follow the coordinates.
Atoms (fractional coordinates):
1 Ba 0.0000 0.7459 0.2351  0.03
2 Ba 0.0000 0.2541 0.7649  0.03
3 Ba 0.5000 0.2426 0.2300  0.05
4 Ba 0.5000 0.7574 0.7700  0.05
5 I 0.0000 0.5000 0.5000  0.00
6 I 0.5000 0.0000 0.5000  0.00
7 Hg 0.0000 0.0000 0.0000  0.06
8 Tl 0.5000 0.5000 0.0000  0.01

Calculated values
Its symmetry is P2/m.

---

What are the Fermi-level density of states values for these records? In order: 15.57; 5.84 states/eV/cell.
What are the size of the total moment values for these records? In order: 0.080; 0.097 μB per atom.
What are the VASP energy values for these records? In order: -2.4449; -2.5615 eV per atom.